Run A
The following is a GGA-PBE calculation of an optimized crystal structure of ZnPdI2N, from Alexandria via LeMat-Bulk.

Structure (POSCAR):
```
ZnPdI2N
1.0
5.752 0.000 0.000
0.000 5.752 0.000
0.000 0.000 3.739
Zn Pd I N
1 1 2 1
Direct
0.000 0.000 0.000 Zn
0.500 0.500 0.500 Pd
0.000 0.500 0.000 I
0.500 0.000 0.000 I
0.000 0.000 0.500 N
```

D(E_F): 0.891 states/eV per atom

Run B
The following is a GGA-PBE calculation of an optimized crystal structure of ZnPdI2N, from Alexandria via LeMat-Bulk.

Structure (POSCAR):
```
ZnPdI2N
1.0
5.743 0.000 0.000
0.000 5.743 0.000
0.000 0.000 3.776
Zn Pd I N
1 1 2 1
Direct
0.000 0.000 0.000 Zn
0.500 0.500 0.500 Pd
0.000 0.500 0.500 I
0.500 0.000 0.500 I
0.500 0.500 0.000 N
```

D(E_F): 0.546 states/eV per atom

Short version: run B is the most stable of them.

Run A
The following is a GGA-PBE calculation of an optimized crystal structure of Pm2I2N, from Alexandria via LeMat-Bulk.

Structure (POSCAR):
```
Pm2I2N
1.0
3.369 -1.946 0.000
3.369 1.946 0.000
-2.517 0.000 11.811
Pm I N
2 2 1
Direct
0.209 0.209 0.112 Pm
0.791 0.791 0.888 Pm
0.055 0.055 0.700 I
0.945 0.945 0.300 I
0.500 0.500 0.000 N
```

D(E_F): 0.299 states/eV per atom

Run B
The following is a GGA-PBE calculation of an optimized crystal structure of Pm2I2N, from Alexandria via LeMat-Bulk.

Structure (POSCAR):
```
Pm2I2N
1.0
11.414 -2.040 0.000
11.414 2.040 0.000
-0.856 0.000 7.873
Pm I N
4 4 2
Direct
0.180 0.180 0.350 Pm
0.313 0.313 0.053 Pm
0.687 0.687 0.947 Pm
0.820 0.820 0.650 Pm
0.108 0.108 0.693 I
0.420 0.420 0.793 I
0.580 0.580 0.207 I
0.892 0.892 0.307 I
0.215 0.215 0.102 N
0.785 0.785 0.898 N
```

D(E_F): 0.289 states/eV per atom

Short version: run A is the most stable of them.

Run A
The following is a GGA-PBE calculation of an optimized crystal structure of PtI2N2, from Alexandria via LeMat-Bulk.

Structure (POSCAR):
```
PtI2N2
1.0
5.867 0.000 0.000
0.000 5.867 0.000
0.000 0.000 3.684
Pt I N
1 2 2
Direct
0.000 0.000 0.000 Pt
0.000 0.500 0.000 I
0.500 0.000 0.000 I
0.000 0.000 0.500 N
0.500 0.500 0.500 N
```

D(E_F): 0.907 states/eV per atom

Run B
The following is a GGA-PBE calculation of an optimized crystal structure of PtI2N2, from Alexandria via LeMat-Bulk.

Structure (POSCAR):
```
PtI2N2
1.0
-5.374 5.374 2.497
5.374 -5.374 2.497
5.374 5.374 -2.497
Pt I N
2 4 4
Direct
0.000 0.000 0.000 Pt
0.500 0.500 0.000 Pt
0.000 0.245 0.245 I
0.000 0.755 0.755 I
0.245 0.000 0.245 I
0.755 0.000 0.755 I
0.310 0.500 0.810 N
0.500 0.310 0.810 N
0.500 0.690 0.190 N
0.690 0.500 0.190 N
```

D(E_F): 0.282 states/eV per atom

Run C
The following is a GGA-PBE calculation of an optimized crystal structure of PtI2N2, from Alexandria via LeMat-Bulk.

Structure (POSCAR):
```
PtI2N2
1.0
3.940 0.000 0.000
0.000 3.940 0.000
0.000 0.000 8.250
Pt I N
1 2 2
Direct
0.000 0.000 0.000 Pt
0.500 0.500 0.000 I
0.500 0.500 0.500 I
0.000 0.500 0.500 N
0.500 0.000 0.500 N
```

D(E_F): 0.954 states/eV per atom

Short version: run B is the most stable of them.

Run A
The following is a GGA-PBE calculation of an optimized crystal structure of RbPtIN2, from Alexandria via LeMat-Bulk.

Structure (POSCAR):
```
RbPtIN2
1.0
4.955 0.000 0.000
0.000 4.955 0.000
0.000 0.000 7.331
Rb Pt I N
1 1 1 2
Direct
0.000 0.000 0.000 Rb
0.500 0.500 0.500 Pt
0.000 0.000 0.500 I
0.000 0.500 0.000 N
0.500 0.000 0.000 N
```

D(E_F): 1.267 states/eV per atom

Run B
The following is a GGA-PBE calculation of an optimized crystal structure of RbPtIN2, from Alexandria via LeMat-Bulk.

Structure (POSCAR):
```
RbPtIN2
1.0
4.336 0.000 0.000
0.000 4.336 0.000
0.000 0.000 5.825
Rb Pt I N
1 1 1 2
Direct
0.000 0.000 0.000 Rb
0.500 0.500 0.500 Pt
0.500 0.500 0.000 I
0.000 0.500 0.500 N
0.500 0.000 0.500 N
```

D(E_F): 1.240 states/eV per atom

Short version: run B is the most stable of them.

Run A
The following is a GGA-PBE calculation of an optimized crystal structure of RePtI2N, from Alexandria via LeMat-Bulk.

Structure (POSCAR):
```
RePtI2N
1.0
5.464 0.000 0.000
0.000 5.464 0.000
0.000 0.000 3.732
Re Pt I N
1 1 2 1
Direct
0.000 0.000 0.000 Re
0.500 0.500 0.500 Pt
0.000 0.500 0.000 I
0.500 0.000 0.000 I
0.000 0.000 0.500 N
```

D(E_F): 1.282 states/eV per atom

Run B
The following is a GGA-PBE calculation of an optimized crystal structure of RePtI2N, from Alexandria via LeMat-Bulk.

Structure (POSCAR):
```
RePtI2N
1.0
5.790 0.000 0.000
0.000 5.790 0.000
0.000 0.000 3.697
Re Pt I N
1 1 2 1
Direct
0.000 0.000 0.000 Re
0.500 0.500 0.500 Pt
0.000 0.500 0.500 I
0.500 0.000 0.500 I
0.500 0.500 0.000 N
```

D(E_F): 0.335 states/eV per atom

Short version: run A is the most stable of them.

Run A
The following is a GGA-PBE calculation of an optimized crystal structure of RuPtI2N, from Alexandria via LeMat-Bulk.

Structure (POSCAR):
```
RuPtI2N
1.0
5.452 0.000 0.000
0.000 5.452 0.000
0.000 0.000 3.656
Ru Pt I N
1 1 2 1
Direct
0.000 0.000 0.000 Ru
0.500 0.500 0.500 Pt
0.000 0.500 0.000 I
0.500 0.000 0.000 I
0.000 0.000 0.500 N
```

D(E_F): 0.909 states/eV per atom

Run B
The following is a GGA-PBE calculation of an optimized crystal structure of RuPtI2N, from Alexandria via LeMat-Bulk.

Structure (POSCAR):
```
RuPtI2N
1.0
5.721 0.000 0.000
0.000 5.721 0.000
0.000 0.000 3.701
Ru Pt I N
1 1 2 1
Direct
0.000 0.000 0.000 Ru
0.500 0.500 0.500 Pt
0.000 0.500 0.500 I
0.500 0.000 0.500 I
0.500 0.500 0.000 N
```

D(E_F): 0.893 states/eV per atom

Short version: run A is the most stable of them.

Run A
The following is a GGA-PBE calculation of an optimized crystal structure of SbPtI2N, from Alexandria via LeMat-Bulk.

Structure (POSCAR):
```
SbPtI2N
1.0
5.868 0.000 0.000
0.000 5.868 0.000
0.000 0.000 3.729
Sb Pt I N
1 1 2 1
Direct
0.000 0.000 0.000 Sb
0.500 0.500 0.500 Pt
0.000 0.500 0.500 I
0.500 0.000 0.500 I
0.500 0.500 0.000 N
```

D(E_F): 0.804 states/eV per atom

Run B
The following is a GGA-PBE calculation of an optimized crystal structure of SbPtI2N, from Alexandria via LeMat-Bulk.

Structure (POSCAR):
```
SbPtI2N
1.0
5.491 0.000 0.000
0.000 5.491 0.000
0.000 0.000 5.148
Sb Pt I N
1 1 2 1
Direct
0.000 0.000 0.000 Sb
0.000 0.000 0.500 Pt
0.000 0.500 0.500 I
0.500 0.000 0.500 I
0.500 0.500 0.000 N
```

D(E_F): 1.967 states/eV per atom

Short version: run A is the most stable of them.

Run A
The following is a GGA-PBE calculation of an optimized crystal structure of ScPtI2N, from Alexandria via LeMat-Bulk.

Structure (POSCAR):
```
ScPtI2N
1.0
5.857 0.000 0.000
0.000 5.857 0.000
0.000 0.000 3.723
Sc Pt I N
1 1 2 1
Direct
0.000 0.000 0.000 Sc
0.500 0.500 0.500 Pt
0.000 0.500 0.500 I
0.500 0.000 0.500 I
0.500 0.500 0.000 N
```

D(E_F): 1.275 states/eV per atom

Run B
The following is a GGA-PBE calculation of an optimized crystal structure of ScPtI2N, from Alexandria via LeMat-Bulk.

Structure (POSCAR):
```
ScPtI2N
1.0
5.768 0.000 0.000
0.000 5.768 0.000
0.000 0.000 3.836
Sc Pt I N
1 1 2 1
Direct
0.000 0.000 0.000 Sc
0.500 0.500 0.500 Pt
0.000 0.500 0.000 I
0.500 0.000 0.000 I
0.000 0.000 0.500 N
```

D(E_F): 1.517 states/eV per atom

Short version: run A is the most stable of them.

Run A
The following is a GGA-PBE calculation of an optimized crystal structure of PtSeI2N, from Alexandria via LeMat-Bulk.

Structure (POSCAR):
```
PtSeI2N
1.0
5.756 0.000 0.000
0.000 5.756 0.000
0.000 0.000 3.714
Pt Se I N
1 1 2 1
Direct
0.000 0.000 0.000 Pt
0.500 0.500 0.500 Se
0.000 0.500 0.000 I
0.500 0.000 0.000 I
0.000 0.000 0.500 N
```

D(E_F): 1.058 states/eV per atom

Run B
The following is a GGA-PBE calculation of an optimized crystal structure of PtSeI2N, from Alexandria via LeMat-Bulk.

Structure (POSCAR):
```
PtSeI2N
1.0
5.832 0.000 0.000
0.000 5.832 0.000
0.000 0.000 3.609
Pt Se I N
1 1 2 1
Direct
0.000 0.000 0.000 Pt
0.500 0.500 0.500 Se
0.000 0.500 0.500 I
0.500 0.000 0.500 I
0.500 0.500 0.000 N
```

D(E_F): 1.057 states/eV per atom

Short version: run A is the most stable of them.

Run A
The following is a GGA-PBE calculation of an optimized crystal structure of PtSeIN2, from Alexandria via LeMat-Bulk.

Structure (POSCAR):
```
PtSeIN2
1.0
3.791 0.000 0.000
0.000 3.791 0.000
0.000 0.000 8.134
Pt Se I N
1 1 1 2
Direct
0.000 0.000 0.000 Pt
0.500 0.500 0.500 Se
0.500 0.500 0.000 I
0.000 0.500 0.500 N
0.500 0.000 0.500 N
```

D(E_F): 0.915 states/eV per atom

Run B
The following is a GGA-PBE calculation of an optimized crystal structure of PtSeIN2, from Alexandria via LeMat-Bulk.

Structure (POSCAR):
```
PtSeIN2
1.0
3.862 0.000 0.000
0.000 3.862 0.000
0.000 0.000 8.746
Pt Se I N
1 1 1 2
Direct
0.000 0.000 0.000 Pt
0.500 0.500 0.500 Se
0.000 0.000 0.500 I
0.000 0.500 0.000 N
0.500 0.000 0.000 N
```

D(E_F): 0.472 states/eV per atom

Short version: run B is the most stable of them.

Run A
The following is a GGA-PBE calculation of an optimized crystal structure of SiPtI2N, from Alexandria via LeMat-Bulk.

Structure (POSCAR):
```
SiPtI2N
1.0
5.759 0.000 0.000
0.000 5.759 0.000
0.000 0.000 3.730
Si Pt I N
1 1 2 1
Direct
0.000 0.000 0.000 Si
0.500 0.500 0.500 Pt
0.000 0.500 0.500 I
0.500 0.000 0.500 I
0.500 0.500 0.000 N
```

D(E_F): 0.660 states/eV per atom

Run B
The following is a GGA-PBE calculation of an optimized crystal structure of SiPtI2N, from Alexandria via LeMat-Bulk.

Structure (POSCAR):
```
SiPtI2N
1.0
5.691 0.000 0.000
0.000 5.691 0.000
0.000 0.000 3.249
Si Pt I N
1 1 2 1
Direct
0.000 0.000 0.000 Si
0.500 0.500 0.500 Pt
0.000 0.500 0.000 I
0.500 0.000 0.000 I
0.000 0.000 0.500 N
```

D(E_F): 0.614 states/eV per atom

Short version: run B is the most stable of them.

Run A
The following is a GGA-PBE calculation of an optimized crystal structure of SiPtIN2, from Alexandria via LeMat-Bulk.

Structure (POSCAR):
```
SiPtIN2
1.0
3.600 0.000 0.000
0.000 3.600 0.000
0.000 0.000 7.933
Si Pt I N
1 1 1 2
Direct
0.000 0.000 0.000 Si
0.500 0.500 0.500 Pt
0.000 0.000 0.500 I
0.000 0.500 0.000 N
0.500 0.000 0.000 N
```

D(E_F): 1.027 states/eV per atom

Run B
The following is a GGA-PBE calculation of an optimized crystal structure of SiPtIN2, from Alexandria via LeMat-Bulk.

Structure (POSCAR):
```
SiPtIN2
1.0
3.837 0.000 0.000
0.000 3.837 0.000
0.000 0.000 8.141
Si Pt I N
1 1 1 2
Direct
0.000 0.000 0.000 Si
0.500 0.500 0.500 Pt
0.500 0.500 0.000 I
0.000 0.500 0.500 N
0.500 0.000 0.500 N
```

D(E_F): 0.790 states/eV per atom

Short version: run A is the most stable of them.